Entry 1:
## BeHg2N (PBE)

Data for a relaxed structure of BeHg2N.

formation energy (no corrections): 105 kJ/mol of atoms
volume: 18.308 A^3/atom
VASP energy: -16.57 eV per cell
crystal system: tetragonal
M_tot: 0.000 μB per formula unit

a = 5.9024 Å, b = 5.9024 Å, c = 5.9239 Å
α = 60.12°, β = 60.12°, γ = 90.00°
Atoms (fractional coordinates):
Hg: 0.8750 0.8978 0.7500
N: 0.0000 0.0000 0.0000
Be: 0.5000 0.5000 0.0000
Hg: 0.1022 0.6250 0.2500
N: 0.7500 0.2500 0.5000
Be: 0.2500 0.7500 0.5000
Hg: 0.6478 0.1250 0.2500
Hg: 0.3750 0.3522 0.7500

Entry 2:
## Be2HgN (PBE)

Data for a relaxed structure of Be2HgN.

formation energy (no corrections): 113 kJ/mol of atoms
volume: 11.811 A^3/atom
VASP energy: -11.41 eV per cell
crystal system: cubic
M_tot: 0.000 μB per formula unit

a = 4.0578 Å, b = 4.0578 Å, c = 4.0578 Å
α = 60.00°, β = 60.00°, γ = 60.00°
Atoms (fractional coordinates):
Be: 0.2500 0.2500 0.2500
N: 0.0000 0.0000 0.0000
Be: 0.7500 0.7500 0.7500
Hg: 0.5000 0.5000 0.5000

Entry 3:
## Be2HgN (PBE)

Data for a relaxed structure of Be2HgN.

formation energy (no corrections): -27 kJ/mol of atoms
volume: 12.610 A^3/atom
VASP energy: -34.42 eV per cell
crystal system: tetragonal
M_tot: 0.000 μB per formula unit

a = 5.2026 Å, b = 5.2026 Å, c = 5.2369 Å
α = 60.22°, β = 60.22°, γ = 90.00°
Atoms (fractional coordinates):
N: 0.2500 0.7500 0.5000
Hg: 0.0000 0.0000 0.0000
N: 0.5000 0.5000 0.0000
Be: 0.3026 0.6250 0.2500
Hg: 0.7500 0.2500 0.5000
Be: 0.8750 0.6974 0.7500
Be: 0.3750 0.5526 0.7500
Be: 0.4474 0.1250 0.2500

Entry 4:
## BeHg2N (PBE)

Data for a relaxed structure of BeHg2N.

formation energy (no corrections): 131 kJ/mol of atoms
volume: 15.379 A^3/atom
VASP energy: -7.24 eV per cell
crystal system: cubic
M_tot: 0.697 μB per formula unit

a = 4.4310 Å, b = 4.4310 Å, c = 4.4310 Å
α = 60.00°, β = 60.00°, γ = 60.00°
Atoms (fractional coordinates):
N: 0.5000 0.5000 0.5000
Be: 0.0000 0.0000 0.0000
Hg: 0.7500 0.7500 0.7500
Hg: 0.2500 0.2500 0.2500

Entry 5:
## BeHgN3 (PBE)

Data for a relaxed structure of BeHgN3.

formation energy (no corrections): 284 kJ/mol of atoms
volume: 14.735 A^3/atom
VASP energy: -14.28 eV per cell
crystal system: cubic
M_tot: 3.071 μB per formula unit

a = 4.1922 Å, b = 4.1922 Å, c = 4.1922 Å
α = 90.00°, β = 90.00°, γ = 90.00°
Atoms (fractional coordinates):
N: 0.0000 0.5000 0.0000
Be: 0.5000 0.5000 0.5000
Hg: 0.0000 0.0000 0.0000
N: 0.5000 0.0000 0.0000
N: 0.0000 0.0000 0.5000

Entry 6:
## BeNbHg2N (PBE)

Data for a relaxed structure of BeNbHg2N.

formation energy (no corrections): 137 kJ/mol of atoms
volume: 17.697 A^3/atom
VASP energy: -15.65 eV per cell
crystal system: tetragonal
M_tot: 0.028 μB per formula unit

a = 4.3635 Å, b = 4.6472 Å, c = 4.3635 Å
α = 90.00°, β = 90.00°, γ = 90.00°
Atoms (fractional coordinates):
N: 0.5000 0.5000 0.5000
Nb: 0.0000 0.5000 0.0000
Be: 0.0000 0.0000 0.0000
Hg: 0.5000 0.0000 0.0000
Hg: 0.0000 0.0000 0.5000

Entry 7:
## BeHg2NO (PBE)

Data for a relaxed structure of BeHg2NO.

formation energy (no corrections): 28 kJ/mol of atoms
volume: 14.788 A^3/atom
VASP energy: -16.14 eV per cell
crystal system: tetragonal
M_tot: 0.000 μB per formula unit

a = 4.8939 Å, b = 3.0873 Å, c = 4.8939 Å
α = 90.00°, β = 90.00°, γ = 90.00°
Atoms (fractional coordinates):
O: 0.5000 0.5000 0.5000
Be: 0.0000 0.5000 0.0000
Hg: 0.5000 0.0000 0.0000
N: 0.0000 0.0000 0.0000
Hg: 0.0000 0.0000 0.5000

Entry 8:
## BeHgNO2 (PBE)

Data for a relaxed structure of BeHgNO2.

formation energy (no corrections): 148 kJ/mol of atoms
volume: 14.533 A^3/atom
VASP energy: -14.58 eV per cell
crystal system: tetragonal
M_tot: 1.339 μB per formula unit

a = 4.2137 Å, b = 4.2137 Å, c = 4.0925 Å
α = 90.00°, β = 90.00°, γ = 90.00°
Atoms (fractional coordinates):
Hg: 0.0000 0.0000 0.0000
Be: 0.5000 0.5000 0.5000
O: 0.5000 0.0000 0.0000
O: 0.0000 0.5000 0.0000
N: 0.0000 0.0000 0.5000

Entry 9:
## BeHgN2O (PBE)

Data for a relaxed structure of BeHgN2O.

formation energy (no corrections): 217 kJ/mol of atoms
volume: 15.095 A^3/atom
VASP energy: -14.39 eV per cell
crystal system: tetragonal
M_tot: 2.402 μB per formula unit

a = 4.2000 Å, b = 4.2000 Å, c = 4.2787 Å
α = 90.00°, β = 90.00°, γ = 90.00°
Atoms (fractional coordinates):
Hg: 0.0000 0.0000 0.0000
N: 0.5000 0.0000 0.0000
Be: 0.5000 0.5000 0.5000
N: 0.0000 0.5000 0.0000
O: 0.0000 0.0000 0.5000

Entry 10:
## BeHgN2O (PBE)

Data for a relaxed structure of BeHgN2O.

formation energy (no corrections): 93 kJ/mol of atoms
volume: 11.361 A^3/atom
VASP energy: -20.81 eV per cell
crystal system: tetragonal
M_tot: 1.708 μB per formula unit

a = 3.3226 Å, b = 3.3226 Å, c = 5.1458 Å
α = 90.00°, β = 90.00°, γ = 90.00°
Atoms (fractional coordinates):
Hg: 0.5000 0.5000 0.5000
Be: 0.0000 0.0000 0.0000
O: 0.0000 0.0000 0.5000
N: 0.5000 0.0000 0.0000
N: 0.0000 0.5000 0.0000

Entry 11:
## BeHg2NO (PBE)

Data for a relaxed structure of BeHg2NO.

formation energy (no corrections): 26 kJ/mol of atoms
volume: 21.691 A^3/atom
VASP energy: -16.27 eV per cell
crystal system: tetragonal
M_tot: 2.772 μB per formula unit

a = 6.1445 Å, b = 2.8726 Å, c = 6.1445 Å
α = 90.00°, β = 90.00°, γ = 90.00°
Atoms (fractional coordinates):
Be: 0.0000 0.0000 0.0000
Hg: 0.0000 0.0000 0.5000
O: 0.0000 0.5000 0.0000
N: 0.5000 0.5000 0.5000
Hg: 0.5000 0.0000 0.0000

Entry 12:
## BeHgNO2 (PBE)

Data for a relaxed structure of BeHgNO2.

formation energy (no corrections): 15 kJ/mol of atoms
volume: 11.493 A^3/atom
VASP energy: -21.47 eV per cell
crystal system: tetragonal
M_tot: 1.382 μB per formula unit

a = 3.2594 Å, b = 3.2594 Å, c = 5.4089 Å
α = 90.00°, β = 90.00°, γ = 90.00°
Atoms (fractional coordinates):
Be: 0.0000 0.0000 0.0000
N: 0.0000 0.0000 0.5000
Hg: 0.5000 0.5000 0.5000
O: 0.5000 0.0000 0.0000
O: 0.0000 0.5000 0.0000